No. 1
The following is a PBE-GGA calculation of a relaxed structure of Tb6Tl6Ga, from Alexandria.

```
Tb6Tl6Ga
1.0
-3.967 -0.797 5.120
-1.894 -1.953 -5.932
4.131 -9.319 1.750
Tb Tl Ga
6 6 1
Cartesian
2.893 -6.526 1.226
1.238 -2.793 0.525
-2.585 -1.568 -2.247
-3.276 -1.182 1.435
-0.519 -6.227 -1.372
-1.210 -5.842 2.311
2.152 -7.966 -1.653
1.115 -7.388 3.873
0.168 -8.364 0.907
-0.951 -2.727 2.997
0.086 -3.306 -2.528
-1.898 -3.704 0.032
0.000 0.000 0.000
```

Summary:
E_tot ... -3.63 eV/atom
ΔH_f (0 K) ... -0.17 eV per atom
Space-group type ... P6/mmm

No. 2
The following is a PBE-GGA calculation of a relaxed structure of Ho5ScIn, from Alexandria.

```
Ho5ScIn
1.0
5.928 0.000 0.000
0.000 8.058 0.000
-2.964 -4.029 5.791
Ho Sc In
5 1 1
Cartesian
0.657 0.000 2.860
0.433 4.029 0.000
3.621 4.029 2.931
2.265 6.631 0.000
2.265 1.428 0.000
5.222 0.000 0.000
3.504 4.029 0.000
```

Summary:
E_tot ... -3.79 eV/atom
ΔH_f (0 K) ... 0.78 eV per atom
Space-group type ... Imm2

No. 3
The following is a PBE-GGA calculation of a relaxed structure of CsNdI2, from Alexandria.

```
CsNdI2
1.0
-1.529 -3.638 1.667
2.408 -3.543 -0.019
4.098 0.144 9.577
Cs I Nd
1 2 1
Cartesian
2.488 -3.519 5.612
1.106 -1.852 2.478
3.871 -5.186 8.747
0.000 0.000 0.000
```

Summary:
E_tot ... -3.21 eV/atom
E_form (uncorrected) ... -1.03 eV/atom
Energy above the most stable polymorph in this dataset ... 0 meV/atom
Space-group type ... R-3m

No. 4
The following is a PBE-GGA calculation of a relaxed structure of Na4PmHo3S8, from Alexandria.

```
Na4PmHo3S8
1.0
8.001 0.000 0.000
0.000 8.125 0.079
-4.001 -3.997 5.660
Na Pm Ho S
4 1 3 8
Cartesian
4.001 0.000 0.000
2.000 -1.999 2.830
0.000 0.000 0.000
-2.000 -1.999 2.830
0.000 4.063 0.039
4.001 4.063 0.039
2.000 2.064 2.869
-2.000 2.064 2.869
-1.959 1.990 5.616
0.000 3.947 2.844
0.000 0.171 2.946
1.959 1.990 5.616
2.042 2.138 0.123
4.001 3.958 2.793
4.001 0.181 2.895
5.960 2.138 0.123
```

Summary:
E_tot ... -5.39 eV/atom
E_form (uncorrected) ... -1.84 eV/atom
Space-group type ... R-3m

No. 5
The following is a PBE-GGA calculation of a relaxed structure of GaSnIrS2, from Alexandria.

```
GaSnIrS2
1.0
4.302 0.000 0.002
0.000 3.685 0.000
-1.378 0.000 6.294
S Ir Sn Ga
2 1 1 1
Cartesian
0.331 1.842 0.771
-0.031 1.842 3.946
2.032 1.842 5.069
2.270 0.000 0.601
2.756 0.000 3.342
```

Summary:
E_tot ... -4.99 eV/atom
E_form (uncorrected) ... -0.16 eV/atom
Energy above the most stable polymorph in this dataset ... 292 meV/atom
Space-group type ... Pm

No. 6
The following is a PBE-GGA calculation of a relaxed structure of AcCe2In3, from Alexandria.

```
AcCe2In3
1.0
-3.023 -1.024 -1.592
-0.980 -1.720 2.967
-6.374 11.619 4.628
Ac Ce In
1 2 3
Cartesian
-5.189 4.438 3.001
-7.353 8.383 4.572
-3.024 0.492 1.430
0.000 0.000 0.000
-4.329 7.890 3.143
-2.046 3.729 1.485
```

Summary:
E_tot ... -4.38 eV/atom
ΔH_f (0 K) ... -0.34 eV per atom
Space-group type ... P4/mmm